4
Lattice="0.000 3.980 3.980 3.980 0.000 3.980 3.980 3.980 0.000" Properties=species:S:1:pos:R:3 comment="AcTbPmHg, optimized geometry, DFT GGA-PBE" magmom_total_mub_per_fu=0.00 e_tot_ry_per_atom=-0.2518 de_polymorph_mev_per_atom=237 ef_ev_per_atom=0.023 pbc="T T T"
Ac 0.000 0.000 0.000
Tb 5.969 5.969 5.969
Pm 1.990 1.990 1.990
Hg 3.980 3.980 3.980

10
Lattice="7.469 0.000 0.000 0.000 7.469 0.000 0.000 0.000 5.635" Properties=species:S:1:pos:R:3 comment="Ca2Y2Be, optimized geometry, DFT GGA-PBE" magmom_total_mub_per_fu=1.08 e_tot_ry_per_atom=-0.2658 de_polymorph_mev_per_atom=0 ef_ev_per_atom=0.515 pbc="T T T"
Ca 1.144 2.590 0.000
Ca 2.590 6.325 0.000
Ca 4.878 1.144 0.000
Ca 6.325 4.878 0.000
Y 1.260 4.994 2.818
Y 2.475 1.260 2.818
Y 4.994 6.209 2.818
Y 6.209 2.475 2.818
Be 0.000 0.000 0.000
Be 3.734 3.734 0.000

4
Lattice="2.703 -4.925 0.000 2.703 4.925 0.000 -2.518 0.000 2.897" Properties=species:S:1:pos:R:3 comment="SiHg2Ir, optimized geometry, DFT GGA-PBE" magmom_total_mub_per_fu=0.00 e_tot_ry_per_atom=-0.2364 e_form_raw_kj_per_mol_atoms=48.8 pbc="T T T"
Si 0.000 0.000 0.000
Hg 1.351 2.462 0.000
Hg 1.351 -2.462 0.000
Ir 2.703 0.000 0.000

12
Lattice="3.618 -6.265 0.000 3.618 6.265 0.000 -2.413 0.000 6.824" Properties=species:S:1:pos:R:3 comment="Ca5HoSe6, optimized geometry, DFT GGA-PBE" magmom_total_mub_per_fu=0.00 e_tot_ry_per_atom=-0.3621 e_form_raw_kj_per_mol_atoms=-189.9 pbc="T T T"
Ca 0.000 0.000 0.000
Ca 2.412 4.179 3.412
Ca 3.618 2.107 0.000
Ca 3.618 -2.107 0.000
Ca 2.412 -4.179 3.412
Ho 2.412 0.000 3.412
Se 1.229 2.047 1.732
Se 0.049 0.000 5.093
Se 1.229 -2.047 1.732
Se 3.594 2.047 5.092
Se 4.774 0.000 1.731
Se 3.594 -2.047 5.092

26
Lattice="5.305 0.000 0.000 0.000 6.609 0.000 -0.079 0.000 9.011" Properties=species:S:1:pos:R:3 comment="Na3ZnPCO7, optimized geometry, DFT GGA-PBE" magmom_total_mub_per_fu=0.00 e_tot_ry_per_atom=-0.4493 de_polymorph_mev_per_atom=7 e_form_raw_kj_per_mol_atoms=-184.8 pbc="T T T"
Na 0.002 0.000 0.003
Na 5.224 3.304 9.008
Na 2.312 1.658 1.516
Na 2.609 6.599 4.500
Na 2.616 3.294 4.511
Na 2.914 4.963 7.495
Zn 0.110 4.951 2.700
Zn 5.115 1.647 6.311
P 0.040 4.951 5.894
P 5.186 1.646 3.116
C 2.636 4.952 1.399
C 2.590 1.648 7.612
O 0.363 2.884 2.283
O 0.374 0.410 2.288
O 0.621 1.652 4.496
O 1.302 1.652 7.892
O 1.563 4.946 5.711
O 1.781 4.954 0.423
O 2.240 4.945 2.630
O 2.985 1.641 6.381
O 3.445 1.650 8.588
O 3.663 1.642 3.300
O 3.924 4.956 1.119
O 4.605 4.956 4.514
O 4.852 3.715 6.723
O 4.863 6.188 6.728

13
Lattice="3.017 1.742 10.462 -3.017 1.742 10.462 0.000 -3.484 10.462" Properties=species:S:1:pos:R:3 comment="Ca6Ag7, optimized geometry, DFT GGA-PBE" magmom_total_mub_per_fu=0.00 e_tot_ry_per_atom=-0.1947 ef_ev_per_atom=-0.190 pbc="T T T"
Ca 0.000 0.000 1.750
Ca 0.000 0.000 5.055
Ca 0.000 0.000 10.373
Ca 0.000 0.000 21.011
Ca 0.000 0.000 26.330
Ca 0.000 0.000 29.634
Ag -1.484 -0.857 13.306
Ag 0.000 -1.714 18.079
Ag -1.484 0.857 18.079
Ag 0.000 0.000 15.692
Ag 1.484 -0.857 13.306
Ag 0.000 1.714 13.306
Ag 1.484 0.857 18.079

12
Lattice="2.662 1.537 8.742 -2.662 1.537 8.742 0.000 -3.074 8.742" Properties=species:S:1:pos:R:3 comment="LiSm3Rh8, optimized geometry, DFT GGA-PBE" magmom_total_mub_per_fu=0.00 e_tot_ry_per_atom=-0.5001 ef_ev_per_atom=-0.564 pbc="T T T"
Li 0.000 0.000 0.000
Sm 0.000 0.000 9.583
Sm 0.000 0.000 12.977
Sm 0.000 0.000 23.038
Rh 0.000 0.000 4.809
Rh -1.333 -0.770 20.092
Rh 0.000 -1.530 15.749
Rh -1.325 0.765 15.749
Rh 0.000 0.000 17.919
Rh 1.325 0.765 15.749
Rh 1.333 -0.770 20.092
Rh 0.000 1.539 20.092

12
Lattice="2.961 -5.123 0.000 2.961 5.123 0.000 -1.964 0.000 10.949" Properties=species:S:1:pos:R:3 comment="SmHo5Sc6, optimized geometry, DFT GGA-PBE" magmom_total_mub_per_fu=0.00 e_tot_ry_per_atom=-0.3976 ef_ev_per_atom=0.057 pbc="T T T"
Sm 0.000 0.000 0.000
Ho 1.979 3.415 5.475
Ho 2.961 1.708 0.000
Ho 1.979 0.000 5.475
Ho 2.961 -1.708 0.000
Ho 1.979 -3.415 5.475
Sc 0.989 1.708 2.746
Sc 0.009 0.000 8.204
Sc 0.989 -1.708 2.746
Sc 2.969 1.708 8.203
Sc 3.949 0.000 2.745
Sc 2.969 -1.708 8.203

8
Lattice="4.881 -3.524 0.000 4.881 3.524 0.000 -2.009 0.000 8.796" Properties=species:S:1:pos:R:3 comment="AcNdY6, optimized geometry, DFT GGA-PBE" magmom_total_mub_per_fu=0.00 e_tot_ry_per_atom=-0.4090 de_polymorph_mev_per_atom=250 ef_ev_per_atom=0.392 pbc="T T T"
Ac 0.000 0.000 0.000
Nd 3.876 0.000 4.398
Y 1.373 1.689 6.163
Y 3.522 0.000 0.714
Y 6.380 1.689 2.633
Y 1.373 -1.689 6.163
Y 4.231 0.000 8.083
Y 6.380 -1.689 2.633

9
Lattice="3.177 -5.506 0.000 3.177 5.506 0.000 -0.003 0.000 7.841" Properties=species:S:1:pos:R:3 comment="CsCrFeCl6, optimized geometry, DFT GGA-PBE" magmom_total_mub_per_fu=6.97 e_tot_ry_per_atom=-0.3321 e_form_raw_kj_per_mol_atoms=-114.2 pbc="T T T"
Cs 0.000 0.000 0.000
Cr 3.175 1.832 3.920
Fe 3.175 -1.834 3.920
Cl 2.056 3.419 2.558
Cl 1.248 2.011 5.282
Cl 4.295 3.419 5.283
Cl 2.375 0.076 2.549
Cl 3.975 0.076 5.291
Cl 5.103 2.011 2.558

8
Lattice="2.596 1.499 8.505 -2.596 1.499 8.505 0.000 -2.998 8.505" Properties=species:S:1:pos:R:3 comment="Tb4MgAl2Ag, optimized geometry, DFT GGA-PBE" magmom_total_mub_per_fu=0.00 e_tot_ry_per_atom=-0.3026 ef_ev_per_atom=-0.311 pbc="T T T"
Tb 0.000 0.000 3.106
Tb 0.000 0.000 9.495
Tb 0.000 0.000 16.019
Tb 0.000 0.000 22.408
Mg 0.000 0.000 12.757
Al 0.000 0.000 6.272
Al 0.000 0.000 19.242
Ag 0.000 0.000 0.000

4
Lattice="-1.923 1.923 5.619 1.923 -1.923 5.619 1.923 1.923 -5.619" Properties=species:S:1:pos:R:3 comment="TaCrBr2, optimized geometry, DFT GGA-PBE" magmom_total_mub_per_fu=2.04 e_tot_ry_per_atom=-0.3926 de_polymorph_mev_per_atom=807 e_form_raw_kj_per_mol_atoms=83.3 pbc="T T T"
Ta 0.000 0.000 0.000
Cr 0.000 1.923 2.810
Br 1.923 0.000 2.810
Br 0.000 0.000 5.619

12
Lattice="8.257 -3.820 0.000 8.257 3.820 0.000 -1.585 0.000 4.930" Properties=species:S:1:pos:R:3 comment="Dy5TlCd6, optimized geometry, DFT GGA-PBE" magmom_total_mub_per_fu=0.00 e_tot_ry_per_atom=-0.2088 ef_ev_per_atom=-0.269 pbc="T T T"
Dy 0.000 0.000 0.000
Dy 1.763 0.000 3.309
Dy 5.130 0.000 1.690
Dy 9.798 0.000 3.240
Dy 13.165 0.000 1.621
Tl 8.257 0.000 0.000
Cd 4.144 1.938 4.091
Cd 7.464 2.008 2.465
Cd 10.784 1.938 0.839
Cd 4.144 -1.938 4.091
Cd 7.464 -2.008 2.465
Cd 10.784 -1.938 0.839

14
Lattice="3.135 -7.028 0.000 3.135 7.028 0.000 -0.322 0.000 6.980" Properties=species:S:1:pos:R:3 comment="Mg8Al3Ga3, optimized geometry, DFT GGA-PBE" magmom_total_mub_per_fu=0.00 e_tot_ry_per_atom=-0.1704 ef_ev_per_atom=0.044 pbc="T T T"
Mg 1.474 2.449 1.154
Mg 1.342 1.608 5.101
Mg 1.342 -1.608 5.101
Mg 1.474 -2.449 1.154
Mg 4.473 2.449 5.826
Mg 4.605 1.608 1.879
Mg 4.605 -1.608 1.879
Mg 4.473 -2.449 5.826
Al 0.000 0.000 0.000
Al 0.696 0.000 2.539
Al 5.251 0.000 4.441
Ga 2.974 3.494 3.490
Ga 2.974 0.000 3.490
Ga 2.974 -3.494 3.490

18
Lattice="-4.612 4.612 7.417 4.612 -4.612 7.417 4.612 4.612 -7.417" Properties=species:S:1:pos:R:3 comment="La5TbSm2Th, optimized geometry, DFT GGA-PBE" magmom_total_mub_per_fu=0.00 e_tot_ry_per_atom=-0.3555 ef_ev_per_atom=0.288 pbc="T T T"
La 0.000 0.000 0.000
La 6.566 1.954 -2.188
La 1.954 2.659 -2.188
La 6.566 1.954 2.188
La 1.954 2.659 2.188
La 0.000 0.000 7.417
La 2.659 1.954 5.228
La -1.954 2.659 5.228
La 2.659 1.954 9.605
La -1.954 2.659 9.605
Tb 4.612 0.000 3.708
Tb 0.000 4.612 3.708
Sm 3.574 1.039 0.000
Sm 3.574 -1.039 7.417
Sm 1.039 5.651 0.000
Sm 1.039 3.574 7.417
Th 0.000 0.000 3.708
Th 0.000 0.000 11.125

12
Lattice="3.651 -6.319 0.000 3.651 6.319 0.000 -2.424 0.000 7.085" Properties=species:S:1:pos:R:3 comment="Sr3Pa2MnAs6, optimized geometry, DFT GGA-PBE" magmom_total_mub_per_fu=5.01 e_tot_ry_per_atom=-0.4437 ef_ev_per_atom=-0.945 pbc="T T T"
Sr 0.000 0.000 0.000
Sr 3.651 2.084 0.000
Sr 3.651 -2.084 0.000
Pa 2.439 4.207 3.543
Pa 2.439 -4.207 3.543
Mn 2.439 0.000 3.543
As 1.216 2.112 2.031
As -0.004 0.000 5.058
As 1.216 -2.112 2.031
As 3.661 2.112 5.054
As 4.882 0.000 2.027
As 3.661 -2.112 5.054

10
Lattice="2.521 -10.126 0.000 2.521 10.126 0.000 0.000 0.000 5.042" Properties=species:S:1:pos:R:3 comment="Tm3TlZn, optimized geometry, DFT GGA-PBE" magmom_total_mub_per_fu=0.00 e_tot_ry_per_atom=-0.2682 de_polymorph_mev_per_atom=0 ef_ev_per_atom=-0.238 pbc="T T T"
Tm 2.521 8.906 3.782
Tm 2.521 5.071 3.782
Tm 2.521 1.252 3.782
Tm 2.521 -1.252 1.261
Tm 2.521 -5.071 1.261
Tm 2.521 -8.906 1.261
Tl 2.521 3.194 1.261
Tl 2.521 -3.194 3.782
Zn 2.521 7.003 1.261
Zn 2.521 -7.003 3.782

5
Lattice="6.253 0.000 0.000 0.000 6.253 0.000 0.000 0.000 6.253" Properties=species:S:1:pos:R:3 comment="Cs3MgMo, optimized geometry, DFT GGA-PBE" magmom_total_mub_per_fu=0.00 e_tot_ry_per_atom=-0.1131 ef_ev_per_atom=1.459 pbc="T T T"
Cs 0.000 0.000 3.126
Cs 0.000 3.126 0.000
Cs 3.126 0.000 0.000
Mg 3.126 3.126 3.126
Mo 0.000 0.000 0.000

5
Lattice="4.709 0.000 0.000 0.000 4.709 0.000 0.000 0.000 5.552" Properties=species:S:1:pos:R:3 comment="BaMn2ZnFe, optimized geometry, DFT GGA-PBE" magmom_total_mub_per_fu=8.87 e_tot_ry_per_atom=-0.3741 ef_ev_per_atom=0.910 pbc="T T T"
Ba 0.000 0.000 0.000
Mn 0.000 2.355 2.776
Mn 2.355 0.000 2.776
Zn 2.355 2.355 0.000
Fe 0.000 0.000 2.776

17
Lattice="2.506 -3.774 0.000 2.506 3.774 0.000 -2.376 0.000 6.447" Properties=species:S:1:pos:R:3 comment="PaFe5H11, optimized geometry, DFT GGA-PBE" magmom_total_mub_per_fu=6.34 e_tot_ry_per_atom=-0.3814 pbc="T T T"
Pa 0.000 0.000 0.000
Fe 0.599 1.251 4.203
Fe 2.036 1.251 2.244
Fe 2.506 0.000 0.000
Fe 0.599 -1.251 4.203
Fe 2.036 -1.251 2.244
H 0.328 1.102 2.324
H 1.827 1.473 0.649
H -0.479 0.000 4.758
H 0.328 -1.102 2.324
H 0.809 1.473 5.798
H 1.318 0.000 3.224
H 1.827 -1.473 0.649
H 2.308 1.102 4.124
H 3.114 0.000 1.689
H 0.809 -1.473 5.798
H 2.308 -1.102 4.124

16
Lattice="4.988 0.000 0.000 0.000 4.988 0.000 0.000 0.000 20.311" Properties=species:S:1:pos:R:3 comment="Nd12PuTl3, optimized geometry, DFT GGA-PBE" magmom_total_mub_per_fu=5.91 e_tot_ry_per_atom=-0.3701 ef_ev_per_atom=-0.121 pbc="T T T"
Nd 0.000 0.000 0.000
Nd 0.000 0.000 5.049
Nd 0.000 0.000 10.156
Nd 0.000 0.000 15.262
Nd 0.000 2.494 2.519
Nd 0.000 2.494 7.575
Nd 0.000 2.494 12.736
Nd 0.000 2.494 17.793
Nd 2.494 0.000 2.519
Nd 2.494 0.000 7.575
Nd 2.494 0.000 12.736
Nd 2.494 0.000 17.793
Pu 2.494 2.494 10.156
Tl 2.494 2.494 0.000
Tl 2.494 2.494 4.996
Tl 2.494 2.494 15.315

5
Lattice="4.372 0.000 0.000 0.000 4.372 0.000 0.000 0.000 3.806" Properties=species:S:1:pos:R:3 comment="CdCuP2N, optimized geometry, DFT GGA-PBE" magmom_total_mub_per_fu=0.00 e_tot_ry_per_atom=-0.3011 e_form_raw_kj_per_mol_atoms=70.9 pbc="T T T"
Cd 0.000 0.000 0.000
Cu 2.186 2.186 0.000
P 0.000 2.186 1.903
P 2.186 0.000 1.903
N 2.186 2.186 1.903